K3Ac2ErSe6: relaxed, PBE.

Values from the calculation:
SG: No. 12
E, eV per atom: -4.86
Formation energy without anion corrections, meV per atom: -1783

a b c (Å): 7.7103 7.7103 8.1426
angles (deg): 99.12 99.12 120.01
Closest atoms and distances in Å follow each position.
Positions (direct):
K  0.1674  0.8326  0.5000  6 Se 3.34-3.51
K  0.8326  0.1674  0.5000  6 Se 3.34-3.51
K  0.5000  0.5000  0.5000  6 Se 3.34-3.53
Ac  0.3335  0.6665  0.0000  6 Se 3.11-3.12
Ac  0.6665  0.3335  0.0000  6 Se 3.11-3.12
Er  0.0000  0.0000  0.0000  6 Se 2.91-2.92
Se  0.9291  0.6160  0.7874  1 Er 2.92, 2 Ac 3.12
Se  0.7581  0.7581  0.2115  1 Er 2.91, 2 Ac 3.11
Se  0.0709  0.3840  0.2126  1 Er 2.92, 2 Ac 3.12
Se  0.6160  0.9291  0.7874  1 Er 2.92, 2 Ac 3.12
Se  0.2419  0.2419  0.7885  1 Er 2.91, 2 Ac 3.11
Se  0.3840  0.0709  0.2126  1 Er 2.92, 2 Ac 3.12